--- one ---
First-principles (PBE) data for crystalline Sc3P5 at its relaxed geometry, as listed in Alexandria.

Cell: 7.8498 7.8498 5.0987 Å, 90.00 90.00 120.00°
Last column: nearest neighbours and their distance in Å.
Positions (direct):
P 0.2050 0.0000 0.2500  2 Sc 2.52, 2 P 2.79
Sc 0.6306 0.6306 0.7500  6 P 2.52-2.79
P 0.6667 0.3333 0.0000  2 P 2.55, 6 Sc 2.79
Sc 0.0000 0.3694 0.7500  6 P 2.52-2.79
Sc 0.3694 0.3694 0.2500  6 P 2.52-2.79
Sc 0.6306 0.0000 0.2500  6 P 2.52-2.79
P 0.6667 0.3333 0.5000  2 P 2.55, 6 Sc 2.79
P 0.7950 0.7950 0.2500  2 Sc 2.52, 2 P 2.79
P 0.7950 0.0000 0.7500  2 Sc 2.52, 2 P 2.79
P 0.3333 0.6667 0.0000  2 P 2.55, 6 Sc 2.79
P 0.3333 0.6667 0.5000  2 P 2.55, 6 Sc 2.79
Sc 0.3694 0.0000 0.7500  6 P 2.52-2.79
P 0.0000 0.2050 0.2500  2 Sc 2.52, 2 P 2.79
P 0.0000 0.7950 0.7500  2 Sc 2.52, 2 P 2.79
P 0.2050 0.2050 0.7500  2 Sc 2.52, 2 P 2.79
Sc 0.0000 0.6306 0.2500  6 P 2.52-2.79

## Properties
- magnetic moment (μB/f.u.) = 0.000
- D(E_F) (states/eV/atom) = 0.49
- SG = P6_3/mcm

---

--- two ---
First-principles (PBE) data for crystalline Sc3P5 at its relaxed geometry, as listed in Alexandria.

Cell: 5.2273 5.2273 5.0781 Å, 90.00 90.00 102.83°
Last column: nearest neighbours and their distance in Å.
Positions (direct):
P 0.3269 0.3269 0.5000  1 P 2.26
P 0.0000 0.0000 0.0000  4 P 2.61
Sc 0.2013 0.7987 0.5000  4 P 2.69
P 0.6731 0.6731 0.5000  1 P 2.26
P 0.5000 0.0000 0.0000  2 Sc 2.61, 2 P 2.61
P 0.0000 0.5000 0.0000  2 Sc 2.61, 2 P 2.61
Sc 0.7987 0.2013 0.5000  4 P 2.69
Sc 0.5000 0.5000 0.0000  8 P 2.61-2.78

## Properties
- magnetic moment (μB/f.u.) = 0.000
- D(E_F) (states/eV/atom) = 0.57
- SG = Cmmm

---

Which structure is the least stable? The one labeled one.

---

--- one ---
First-principles (PBE) data for crystalline Sc3P at its relaxed geometry, as listed in Alexandria.

Cell: 4.9926 4.9926 4.9926 Å, 90.00 90.00 90.00°
Last column: nearest neighbours and their distance in Å.
Positions (direct):
Sc 0.5000 0.0000 0.0000  2 P 2.50
Sc 0.0000 0.0000 0.5000  2 P 2.50
Sc 0.0000 0.5000 0.0000  2 P 2.50
P 0.0000 0.0000 0.0000  6 Sc 2.50

## Properties
- magnetic moment (μB/f.u.) = 2.821
- D(E_F) (states/eV/atom) = 1.73
- SG = Pm-3m

---

--- two ---
First-principles (PBE) data for crystalline Sc3P at its relaxed geometry, as listed in Alexandria.

Cell: 6.0030 6.0030 9.7157 Å, 90.00 90.00 120.00°
Last column: nearest neighbours and their distance in Å.
Positions (direct):
Sc 0.0000 0.5000 0.0000  4 P 2.98-3.00, 8 Sc 3.00
Sc 0.6790 0.8395 0.7500  8 Sc 2.89-3.11, 4 P 2.95-3.00
P 0.6667 0.3333 0.7500  12 Sc 2.98-3.00
Sc 0.5000 0.5000 0.0000  4 P 2.98-3.00, 8 Sc 3.00
Sc 0.5000 0.0000 0.0000  4 P 2.98-3.00, 8 Sc 3.00
Sc 0.8395 0.1605 0.2500  8 Sc 2.89-3.11, 4 P 2.95-3.00
Sc 0.1605 0.8395 0.7500  8 Sc 2.89-3.11, 4 P 2.95-3.00
Sc 0.0000 0.5000 0.5000  4 P 2.98-3.00, 8 Sc 3.00
P 0.0000 0.0000 0.5000  12 Sc 2.95-3.00
P 0.0000 0.0000 0.0000  12 Sc 2.95-3.00
Sc 0.3210 0.1605 0.2500  8 Sc 2.89-3.11, 4 P 2.95-3.00
P 0.3333 0.6667 0.2500  12 Sc 2.98-3.00
Sc 0.5000 0.0000 0.5000  4 P 2.98-3.00, 8 Sc 3.00
Sc 0.1605 0.3210 0.7500  8 Sc 2.89-3.11, 4 P 2.95-3.00
Sc 0.8395 0.6790 0.2500  8 Sc 2.89-3.11, 4 P 2.95-3.00
Sc 0.5000 0.5000 0.5000  4 P 2.98-3.00, 8 Sc 3.00

## Properties
- magnetic moment (μB/f.u.) = 1.334
- D(E_F) (states/eV/atom) = 1.26
- SG = P6_3/mmc

---

--- three ---
First-principles (PBE) data for crystalline Sc3P at its relaxed geometry, as listed in Alexandria.

Cell: 5.5355 5.5355 5.5355 Å, 136.95 136.95 62.52°
Last column: nearest neighbours and their distance in Å.
Positions (direct):
Sc 0.5000 0.5000 0.0000  4 P 2.87, 8 Sc 3.12
Sc 0.2500 0.7500 0.5000  8 Sc 2.87-3.12, 4 P 3.12
P 0.0000 0.0000 0.0000  12 Sc 2.87-3.12
Sc 0.7500 0.2500 0.5000  8 Sc 2.87-3.12, 4 P 3.12

## Properties
- magnetic moment (μB/f.u.) = 0.913
- D(E_F) (states/eV/atom) = 1.23
- SG = I4/mmm

---

Which structure is the least stable? The one labeled one.

---

--- one ---
First-principles (PBE) data for crystalline Sc3P at its relaxed geometry, as listed in Alexandria.

Cell: 4.2245 4.2245 4.2245 Å, 90.00 90.00 90.00°
Last column: nearest neighbours and their distance in Å.
Positions (direct):
Sc 0.5000 0.0000 0.5000  8 Sc 2.99, 4 P 2.99
Sc 0.0000 0.5000 0.5000  8 Sc 2.99, 4 P 2.99
P 0.0000 0.0000 0.0000  12 Sc 2.99
Sc 0.5000 0.5000 0.0000  8 Sc 2.99, 4 P 2.99

## Properties
- magnetic moment (μB/f.u.) = 0.004
- D(E_F) (states/eV/atom) = 1.46
- SG = Pm-3m

---

--- two ---
First-principles (PBE) data for crystalline Sc3P at its relaxed geometry, as listed in Alexandria.

Cell: 5.3881 5.3881 5.3881 Å, 90.00 90.00 90.00°
Last column: nearest neighbours and their distance in Å.
Positions (direct):
Sc 0.0000 0.7500 0.5000  2 Sc 2.69, 4 P 3.01
Sc 0.5000 0.0000 0.7500  2 Sc 2.69, 4 P 3.01
P 0.0000 0.0000 0.0000  12 Sc 3.01
Sc 0.7500 0.5000 0.0000  2 Sc 2.69, 4 P 3.01
Sc 0.5000 0.0000 0.2500  2 Sc 2.69, 4 P 3.01
Sc 0.2500 0.5000 0.0000  2 Sc 2.69, 4 P 3.01
P 0.5000 0.5000 0.5000  12 Sc 3.01
Sc 0.0000 0.2500 0.5000  2 Sc 2.69, 4 P 3.01

## Properties
- magnetic moment (μB/f.u.) = 0.000
- D(E_F) (states/eV/atom) = 1.00
- SG = Pm-3n

---

Which structure is the least stable? The one labeled two.

---

--- one ---
First-principles (PBE) data for crystalline Sc3P at its relaxed geometry, as listed in Alexandria.

Cell: 3.4305 3.4305 6.8980 Å, 90.00 90.00 90.00°
Last column: nearest neighbours and their distance in Å.
Positions (direct):
Sc 0.5000 0.5000 0.7967  4 P 2.80, 1 Sc 2.80
Sc 0.5000 0.5000 0.2033  4 P 2.80, 1 Sc 2.80
P 0.0000 0.0000 0.0000  8 Sc 2.80
Sc 0.0000 0.0000 0.5000  12 Sc 3.17-3.43, 2 P 3.45

## Properties
- magnetic moment (μB/f.u.) = 0.000
- D(E_F) (states/eV/atom) = 1.18
- SG = P4/mmm

---

--- two ---
First-principles (PBE) data for crystalline Sc3P at its relaxed geometry, as listed in Alexandria.

Cell: 5.4941 5.4941 5.4941 Å, 116.34 116.34 116.34°
Last column: nearest neighbours and their distance in Å.
Positions (direct):
P 0.0000 0.0000 0.0000  6 Sc 2.90, 2 P 3.19
Sc 0.5000 0.5000 0.0000  2 P 2.90, 6 Sc 2.90-3.19
Sc 0.0000 0.5000 0.5000  6 Sc 2.90-3.19, 2 P 2.90
Sc 0.5000 0.0000 0.5000  6 Sc 2.90-3.19, 2 P 2.90

## Properties
- magnetic moment (μB/f.u.) = 0.000
- D(E_F) (states/eV/atom) = 0.88
- SG = R-3m

---

--- three ---
First-principles (PBE) data for crystalline Sc3P at its relaxed geometry, as listed in Alexandria.

Cell: 5.7071 5.7071 5.2866 Å, 90.00 90.00 102.06°
Last column: nearest neighbours and their distance in Å.
Positions (direct):
Sc 0.6925 0.0824 0.7500  1 P 2.64, 1 Sc 2.90
Sc 0.9176 0.3075 0.2500  1 P 2.64, 1 Sc 2.90
Sc 0.2432 0.2432 0.7500  3 P 2.63-2.84, 2 Sc 2.90
Sc 0.0824 0.6925 0.7500  1 P 2.64, 1 Sc 2.90
P 0.6103 0.6103 0.7500  5 Sc 2.63-2.84
Sc 0.3075 0.9176 0.2500  1 P 2.64, 1 Sc 2.90
Sc 0.7568 0.7568 0.2500  3 P 2.63-2.84, 2 Sc 2.90
P 0.3897 0.3897 0.2500  5 Sc 2.63-2.84

## Properties
- magnetic moment (μB/f.u.) = 0.000
- D(E_F) (states/eV/atom) = 1.16
- SG = Cmcm

---

--- four ---
First-principles (PBE) data for crystalline Sc3P at its relaxed geometry, as listed in Alexandria.

Cell: 3.6684 5.7298 8.2332 Å, 90.00 90.00 108.67°
Last column: nearest neighbours and their distance in Å.
Positions (direct):
Sc 0.1416 0.2832 0.5546  3 P 2.69-2.79
Sc 0.5701 0.1402 0.2500  2 P 2.72
Sc 0.8584 0.7168 0.0546  3 P 2.69-2.79
Sc 0.4299 0.8598 0.7500  2 P 2.72
P 0.2548 0.5096 0.2500  8 Sc 2.69-2.79
Sc 0.8584 0.7168 0.4454  3 P 2.69-2.79
P 0.7452 0.4904 0.7500  8 Sc 2.69-2.79
Sc 0.1416 0.2832 0.9454  3 P 2.69-2.79

## Properties
- magnetic moment (μB/f.u.) = 0.000
- D(E_F) (states/eV/atom) = 0.97
- SG = Cmcm

---

Which structure is the least stable? The one labeled two.